# 1
A relaxed PuU3Ge2 crystal. Source: Alexandria, functional PBE.

a = 5.6542 Å, b = 5.6542 Å, c = 8.7833 Å
α = 99.13°, β = 121.93°, γ = 86.10°
Closest atoms and distances in Å follow each position.
Element x y z (fractional)
Pu  0.8267  0.5767  0.2500  5 U 2.92-3.06, 6 Ge 3.06-3.19
Pu  0.1733  0.4233  0.7500  5 U 2.92-3.06, 6 Ge 3.06-3.19
U  0.6393  0.6796  0.5060  3 U 2.61-2.85, 1 Pu 2.92
U  0.3607  0.3204  0.4940  3 U 2.61-2.85, 1 Pu 2.92
U  0.6736  0.1333  0.9940  3 U 2.61-2.85, 1 Pu 2.92
U  0.8186  0.0686  0.7500  4 U 2.64-2.85, 1 Pu 2.93
U  0.3264  0.8667  0.0060  3 U 2.61-2.85, 1 Pu 2.92
U  0.1814  0.9314  0.2500  4 U 2.64-2.85, 1 Pu 2.93
Ge  0.7745  0.1255  0.3819  1 Ge 2.77, 2 Pu 3.06-3.07, 2 U 3.07-3.10
Ge  0.2255  0.8745  0.6181  1 Ge 2.77, 2 Pu 3.06-3.07, 2 U 3.07-3.10
Ge  0.7565  0.6075  0.8819  1 Ge 2.77, 2 Pu 3.06-3.07, 2 U 3.07-3.10
Ge  0.2435  0.3925  0.1181  1 Ge 2.77, 2 Pu 3.06-3.07, 2 U 3.07-3.10

* ΔH_f (0 K): -0.054 eV/atom
* raw total energy: -9.6255 eV per atom
* density: 15.6 g cm⁻³
* symmetry: C2/c (15)

=====

# 2
A relaxed PuUVGe crystal. Source: Alexandria, functional PBE.

a = 4.7189 Å, b = 4.7189 Å, c = 4.7189 Å
α = 60.00°, β = 60.00°, γ = 60.00°
Closest atoms and distances in Å follow each position.
Element x y z (fractional)
Ge  0.5000  0.5000  0.5000  4 V 2.89, 4 Pu 2.89
V  0.2500  0.2500  0.2500  4 U 2.89, 4 Ge 2.89
U  0.0000  0.0000  0.0000  4 Pu 2.89, 4 V 2.89
Pu  0.7500  0.7500  0.7500  4 Ge 2.89, 4 U 2.89

* ΔH_f (0 K): -0.019 eV/atom
* raw total energy: -9.8579 eV per atom
* density: 13.5 g cm⁻³
* symmetry: F-43m (216)

=====

# 3
A relaxed Pu2VGe crystal. Source: Alexandria, functional PBE.

a = 2.9320 Å, b = 2.9320 Å, c = 10.5268 Å
α = 81.99°, β = 81.99°, γ = 60.00°
Closest atoms and distances in Å follow each position.
Element x y z (fractional)
Ge  0.5000  0.5000  0.5000  6 Ge 2.93, 6 Pu 3.11
V  0.0000  0.0000  0.0000  2 Pu 2.58
Pu  0.0829  0.0829  0.7513  1 V 2.58
Pu  0.9171  0.9171  0.2487  1 V 2.58

* ΔH_f (0 K): 0.399 eV/atom
* raw total energy: -10.2006 eV per atom
* density: 13.1 g cm⁻³
* E above lowest polymorph: 293 meV/atom
* symmetry: R-3m (166)

=====

# 4
A relaxed PuVGe2 crystal. Source: Alexandria, functional PBE.

a = 3.7485 Å, b = 3.7485 Å, c = 6.9166 Å
α = 74.28°, β = 74.28°, γ = 60.00°
Closest atoms and distances in Å follow each position.
Element x y z (fractional)
Ge  0.2662  0.2662  0.2015  3 V 2.54
Ge  0.7338  0.7338  0.7985  3 V 2.54
V  0.0000  0.0000  0.0000  6 Ge 2.54
Pu  0.5000  0.5000  0.5000  6 Ge 2.92

* ΔH_f (0 K): -0.139 eV/atom
* raw total energy: -8.3103 eV per atom
* density: 9.1 g cm⁻³
* E above lowest polymorph: 95 meV/atom
* symmetry: R-3m (166)